Density functional theory data (PBE) for a geometry-optimized YHo2Tl3S6 structure.

Unit cell a=6.963 b=6.963 c=7.872 alpha=98.48 beta=98.48 gamma=120.00
Element x y z (fractional)
Y 0.000 0.000 0.000
Ho 0.333 0.667 0.000
Ho 0.667 0.333 0.000
Tl 0.167 0.833 0.500
Tl 0.500 0.500 0.500
Tl 0.833 0.167 0.500
S 0.066 0.401 0.197
S 0.269 0.269 0.803
S 0.401 0.066 0.197
S 0.599 0.934 0.803
S 0.731 0.731 0.197
S 0.934 0.599 0.803

Output
ΔE_f (raw) = -1.49 eV/atom
V = 26.3 Å³/atom
space group = C2/m